(1)
First-principles (PBE) data for LiTlSn2H after structural relaxation, as listed in Alexandria.

Summary:
DOS at the Fermi energy: 1.84 states/eV/cell
energy: -3.053 eV per atom

Cell lengths 4.8206, 4.8206, 4.5496 Å; angles 90.00, 90.00, 90.00 degrees
Space group P4/mmm (No. 123)
One atom of each set of equivalent atoms:
Li (0.0000, 0.0000, 0.0000) x1
Tl (0.5000, 0.5000, 0.0000) x1
Sn (0.0000, 0.5000, 0.5000) x2
H (0.0000, 0.0000, 0.5000) x1

=====

(2)
First-principles (PBE) data for LiTbDy after structural relaxation, as listed in Alexandria.

Summary:
offset from the most stable computed form: 4.02 kJ/mol of atoms
formation energy from the elements: 0.092 eV per atom
DOS at the Fermi energy: 9.31 states/eV/cell
energy: -3.623 eV per atom

Cell lengths 3.6389, 3.6389, 12.5728 Å; angles 90.00, 90.00, 90.00 degrees
Space group I4mm (No. 107)
One atom of each set of equivalent atoms:
Li (0.0000, 0.0000, 0.0000) x2
Tb (0.0000, 0.0000, 0.6552) x2
Dy (0.0000, 0.0000, 0.3464) x2